(1)
A plane-wave DFT calculation with PBE-GGA was carried out for a geometry-optimized Dy2ErTm5Sc structure.

Cell: 5.4644 10.2036 10.2366 Å, 90.00 90.00 105.53°
Fractional positions:
Sc 0.1961 0.3922 0.0144
Sc 0.8039 0.6078 0.5144
Tm 0.9822 0.9645 0.5187
Tm 0.6216 0.2432 0.5212
Tm 0.7241 0.4483 0.8193
Tm 0.0178 0.0355 0.0187
Tm 0.6996 0.3993 0.2050
Tm 0.3004 0.6007 0.7050
Tm 0.2759 0.5517 0.3193
Tm 0.5186 0.0373 0.2393
Tm 0.3784 0.7568 0.0212
Tm 0.4814 0.9627 0.7393
Dy 0.8859 0.7718 0.2357
Dy 0.1141 0.2282 0.7357
Dy 0.1113 0.2227 0.3142
Dy 0.8887 0.7773 0.8142
Er 0.4095 0.8191 0.4561
Er 0.5905 0.1809 0.9561

Summary:
Calculated density, g/cm3: 8.35
Symmetry: Cmc2_1, No. 36
Calculated formation energy, eV per formula unit: 1.5



(2)
A plane-wave DFT calculation with PBE-GGA was carried out for a geometry-optimized MgCuPt2 structure.

Cell: 4.6776 4.6776 4.8164 Å, 78.40 78.40 35.82°
Fractional positions:
Cu 0.2500 0.2500 0.2500
Mg 0.7500 0.7500 0.7500
Pt 0.9975 0.9975 0.0063
Pt 0.5025 0.5025 0.4937

Summary:
Calculated density, g/cm3: 13.17
Symmetry: C2/m, No. 12
Calculated formation energy, eV per formula unit: -1.8



(3)
A plane-wave DFT calculation with PBE-GGA was carried out for a geometry-optimized InAgPb structure.

Cell: 3.5734 6.1158 7.8080 Å, 112.72 103.23 90.00°
Fractional positions:
In 0.7227 0.3329 0.0746
In 0.7217 0.8567 0.0727
Ag 0.3463 0.7201 0.3218
Ag 0.0982 0.4695 0.8255
Pb 0.4216 0.2948 0.4724
Pb 0.0228 0.8948 0.6749

Summary:
Calculated density, g/cm3: 9.36
Symmetry: C2/m, No. 12
Calculated formation energy, eV per formula unit: 0.1



(4)
A plane-wave DFT calculation with PBE-GGA was carried out for a geometry-optimized AcPm12Er5 structure.

Cell: 12.1833 10.5309 5.8138 Å, 89.92 89.86 54.66°
Fractional positions:
Pm 0.6683 0.3615 0.9967
Pm 0.8293 0.6425 0.4964
Pm 0.7946 0.0000 0.5329
Pm 0.5282 0.6425 0.5036
Pm 0.3317 0.6385 0.0033
Pm 0.0299 0.6385 0.9967
Pm 0.3081 0.0000 0.9684
Pm 0.1707 0.3575 0.5036
Pm 0.9701 0.3615 0.0033
Pm 0.2054 0.0000 0.4671
Pm 0.6919 0.0000 0.0316
Pm 0.4718 0.3575 0.4964
Ac 0.0000 0.0000 0.0000
Er 0.6386 0.7228 0.0000
Er 0.8589 0.2821 0.5000
Er 0.5000 0.0000 0.5000
Er 0.3614 0.2772 0.0000
Er 0.1411 0.7179 0.5000

Summary:
Calculated density, g/cm3: 7.65
Symmetry: C2/m, No. 12
Calculated formation energy, eV per formula unit: 1.6



(5)
A plane-wave DFT calculation with PBE-GGA was carried out for a geometry-optimized CsP2SN structure.

Cell: 7.4641 7.4641 5.7033 Å, 90.00 90.00 90.00°
Fractional positions:
N 0.5000 0.5000 0.5000
S 0.0000 0.0000 0.5000
P 0.5000 0.0000 0.0000
P 0.0000 0.5000 0.0000
Cs 0.0000 0.0000 0.0000

Summary:
Calculated density, g/cm3: 1.26
Symmetry: P4/mmm, No. 123
Offset from the most stable computed form, meV per atom: 1321
Formation energy without anion corrections, eV/atom: 2.45



(6)
A plane-wave DFT calculation with PBE-GGA was carried out for a geometry-optimized Sm2MgPtO6 structure.

Cell: 5.7617 5.4496 9.5113 Å, 55.41 90.00 90.00°
Fractional positions:
Pt 0.5000 0.0000 0.5000
Pt 0.0000 0.0000 0.0000
Sm 0.5675 0.7689 0.2506
Sm 0.4325 0.2311 0.7494
Sm 0.9325 0.7689 0.7506
Sm 0.0675 0.2311 0.2494
O 0.1978 0.7512 0.9448
O 0.2989 0.1350 0.0561
O 0.5381 0.6428 0.7481
O 0.8022 0.2488 0.0552
O 0.9619 0.6428 0.2481
O 0.7989 0.8650 0.4439
O 0.4619 0.3572 0.2519
O 0.2011 0.1350 0.5561
O 0.7011 0.8650 0.9439
O 0.3022 0.7512 0.4448
O 0.0381 0.3572 0.7519
O 0.6978 0.2488 0.5552
Mg 0.5000 0.5000 0.0000
Mg 0.0000 0.5000 0.5000

Summary:
Calculated density, g/cm3: 8.32
Symmetry: P2_1/c, No. 14
Formation energy without anion corrections, eV/atom: -2.47



(7)
A plane-wave DFT calculation with PBE-GGA was carried out for a geometry-optimized MnSb2Mo structure.

Cell: 4.7227 4.7227 5.3185 Å, 82.36 82.36 42.27°
Fractional positions:
Sb 0.0156 0.0156 0.9857
Sb 0.4844 0.4844 0.5143
Mn 0.2500 0.2500 0.2500
Mo 0.7500 0.7500 0.7500

Summary:
Calculated density, g/cm3: 8.29
Symmetry: C2/m, No. 12
Offset from the most stable computed form, meV per atom: 243
Formation energy without anion corrections, eV/atom: 0.35



(8)
A plane-wave DFT calculation with PBE-GGA was carried out for a geometry-optimized Na2BClO structure.

Cell: 4.9876 4.1545 4.9876 Å, 90.00 90.00 90.00°
Fractional positions:
Na 0.0000 0.0000 0.5000
Na 0.5000 0.0000 0.0000
B 0.0000 0.5000 0.0000
Cl 0.0000 0.0000 0.0000
O 0.5000 0.5000 0.5000

Summary:
Calculated density, g/cm3: 1.74
Symmetry: P4/mmm, No. 123
Formation energy without anion corrections, eV/atom: 0.45



The records above yield energy values of -0.33443 -0.35899 -0.22446 -0.33607 -0.17458 -0.52570 -0.49306 -0.20361 Ry per atom, respectively.